Entry 1:
Computed, not measured: a relaxed CsTl2AgBr8 crystal at the GGA-PBE level of DFT.

Results
- Space-group type: I-4
- Formation energy without anion corrections: -644 meV per atom
- Raw total energy: -2.462 eV/atom

abc: 10.727 10.727 10.727
angles: 141.80 141.80 55.12
Fractional coordinates of all 12 atoms:
Cs  0.000  0.000  0.000
Tl  0.500  0.500  0.000
Tl  0.750  0.250  0.500
Ag  0.250  0.750  0.500
Br  0.010  0.027  0.417
Br  0.245  0.644  0.066
Br  0.356  0.422  0.601
Br  0.407  0.990  0.017
Br  0.578  0.179  0.934
Br  0.611  0.593  0.583
Br  0.821  0.755  0.399
Br  0.973  0.389  0.983

---

Entry 2:
Computed, not measured: a relaxed Cs2TlAg2Br7 crystal at the GGA-PBE level of DFT.

Results
- Space-group type: I4/mmm
- Formation energy without anion corrections: -875 meV per atom
- Raw total energy: -2.666 eV/atom

abc: 14.669 14.669 14.669
angles: 158.48 158.48 30.62
Fractional coordinates of all 12 atoms:
Cs  0.178  0.178  0.000
Cs  0.822  0.822  0.000
Tl  0.000  0.000  0.000
Ag  0.405  0.405  0.000
Ag  0.595  0.595  0.000
Br  0.087  0.587  0.500
Br  0.309  0.309  0.000
Br  0.413  0.913  0.500
Br  0.500  0.500  0.000
Br  0.587  0.087  0.500
Br  0.691  0.691  0.000
Br  0.913  0.413  0.500

---

Entry 3:
Computed, not measured: a relaxed CsTl2AgBr5 crystal at the GGA-PBE level of DFT.

Results
- Space-group type: I4/mcm
- Formation energy without anion corrections: -841 meV per atom
- Raw total energy: -2.708 eV/atom

abc: 10.177 10.177 10.177
angles: 127.97 127.97 76.68
Fractional coordinates of all 18 atoms:
Cs  0.250  0.250  0.000
Cs  0.750  0.750  0.000
Tl  0.169  0.669  0.838
Tl  0.331  0.169  0.500
Tl  0.669  0.831  0.500
Tl  0.831  0.331  0.162
Ag  0.250  0.750  0.500
Ag  0.750  0.250  0.500
Br  0.000  0.000  0.000
Br  0.016  0.214  0.500
Br  0.214  0.714  0.199
Br  0.286  0.484  0.500
Br  0.484  0.984  0.199
Br  0.500  0.500  0.000
Br  0.516  0.016  0.801
Br  0.714  0.516  0.500
Br  0.786  0.286  0.801
Br  0.984  0.786  0.500